Here is a relaxed structure of Ta2SbS from the Alexandria database. Energies are from PBEsol.

Summary:
Uncorrected formation energy: 320.1 meV/atom
Magnetic moment: 0.000 μB per cell
Symmetry: No. 122

a b c (Å): 8.3460 8.3460 8.3460
angles (deg): 146.21 146.21 48.54
Closest atoms and distances in Å follow each position.
Positions (direct):
1 Ta 0.0373 0.6250 0.9123  2 S 2.39
2 Ta 0.3750 0.2873 0.4123  2 S 2.39
3 Ta 0.7127 0.1250 0.0877  2 S 2.39
4 Ta 0.8750 0.9627 0.5877  2 S 2.39
5 Sb 0.2500 0.7500 0.5000  4 Ta 2.79
6 Sb 0.5000 0.5000 0.0000  4 Ta 2.79
7 S 0.0000 0.0000 0.0000  4 Ta 2.39
8 S 0.7500 0.2500 0.5000  4 Ta 2.39